The following is a GGA-PBEsol calculation of a relaxed LiP2ClO crystal, from Alexandria.

Lattice parameters (Å, degrees): 3.757 3.757 6.583 90.00 90.00 90.00
Positions (direct):
P: 0.000 0.500 0.000
P: 0.500 0.000 0.000
Li: 0.500 0.500 0.500
O: 0.000 0.000 0.000
Cl: 0.000 0.000 0.500

Results
E above lowest polymorph = 0 meV per atom
electronic total energy = -4.358 eV/atom
formation energy from raw total energies = -0.20 eV/atom